# 1
VASP calculation (GGA-PBE) on Tm4Ag2HgIr after structural relaxation.

Cell and atoms, written as CIF:
```
data_Tm4Ag2HgIr
_chemical_formula_sum 'Tm12 Ag6 Hg3 Ir3'
_cell_length_a 5.0251
_cell_length_b 5.0251
_cell_length_c 24.5505
_cell_angle_alpha 90.00
_cell_angle_beta 90.00
_cell_angle_gamma 120.00
_space_group_name_H-M_alt 'R -3 m'
_space_group_IT_number 166
_space_group_name_Hall '-R 3 2"'
loop_
_atom_site_label
_atom_site_type_symbol
_atom_site_fract_x
_atom_site_fract_y
_atom_site_fract_z
_atom_site_occupancy
Tm1 Tm 0.0000 0.0000 0.1167 1
Tm2 Tm 0.0000 0.0000 0.3687 1
Ag1 Ag 0.0000 0.0000 0.2444 1
Hg1 Hg 0.0000 0.0000 0.5000 1
Ir1 Ir 0.0000 0.0000 0.0000 1
```

Results
**VASP energy**: -4.65 eV per atom
**Calculated formation energy**: -0.561 eV per atom

---

# 2
VASP calculation (GGA-PBE) on KAgHg after structural relaxation.

Cell and atoms, written as CIF:
```
data_KAgHg
_chemical_formula_sum 'K2 Ag2 Hg2'
_cell_length_a 3.856
_cell_length_b 3.887
_cell_length_c 11.941
_cell_angle_alpha 90.00
_cell_angle_beta 90.00
_cell_angle_gamma 90.00
_space_group_name_H-M_alt 'I m m 2'
_space_group_IT_number 44
loop_
_space_group_symop_operation_xyz
'x,y,z'
'-x,-y,z'
'-x,y,z'
'x,-y,z'
'x+1/2,y+1/2,z+1/2'
'-x+1/2,-y+1/2,z+1/2'
'-x+1/2,y+1/2,z+1/2'
'x+1/2,-y+1/2,z+1/2'
loop_
_atom_site_label
_atom_site_type_symbol
_atom_site_fract_x
_atom_site_fract_y
_atom_site_fract_z
_atom_site_occupancy
K1 K 0.000 0.000 0.000 1
Ag1 Ag 0.000 0.000 0.701 1
Hg1 Hg 0.000 0.000 0.300 1
```

Results
**VASP energy**: -1.47 eV per atom
**Calculated formation energy**: -0.053 eV per atom
**ΔE to the lowest computed polymorph**: 58 meV per atom

---

# 3
VASP calculation (GGA-PBE) on K12AgHg6 after structural relaxation.

Cell and atoms, written as CIF:
```
data_K12AgHg6
_chemical_formula_sum 'K24 Ag2 Hg12'
_cell_length_a 11.993
_cell_length_b 11.993
_cell_length_c 11.993
_cell_angle_alpha 90.00
_cell_angle_beta 90.00
_cell_angle_gamma 90.00
_space_group_name_H-M_alt 'I m -3'
_space_group_IT_number 204
_space_group_name_Hall '-I 2 2 3'
loop_
_atom_site_label
_atom_site_type_symbol
_atom_site_fract_x
_atom_site_fract_y
_atom_site_fract_z
_atom_site_occupancy
K1 K 0.000 0.183 0.286 1
Ag1 Ag 0.000 0.000 0.000 1
Hg1 Hg 0.000 0.376 0.500 1
```

Results
**VASP energy**: -1.07 eV per atom
**Calculated formation energy**: -0.132 eV per atom

---

# 4
VASP calculation (GGA-PBE) on KAgHg after structural relaxation.

Cell and atoms, written as CIF:
```
data_KAgHg
_chemical_formula_sum 'K4 Ag4 Hg4'
_cell_length_a 4.670
_cell_length_b 4.670
_cell_length_c 16.849
_cell_angle_alpha 90.00
_cell_angle_beta 90.00
_cell_angle_gamma 90.00
_space_group_name_H-M_alt 'I 4/m m m'
_space_group_IT_number 139
_space_group_name_Hall '-I 4 2'
loop_
_atom_site_label
_atom_site_type_symbol
_atom_site_fract_x
_atom_site_fract_y
_atom_site_fract_z
_atom_site_occupancy
K1 K 0.000 0.000 0.167 1
Ag1 Ag 0.000 0.500 0.000 1
Hg1 Hg 0.000 0.000 0.387 1
```

Results
**VASP energy**: -1.50 eV per atom
**Calculated formation energy**: -0.082 eV per atom
**ΔE to the lowest computed polymorph**: 28 meV per atom